1.
Pu2PdPt: optimized geometry, GGA-PBE.

Lattice parameters (Å, degrees): 6.034 7.488 3.773 90.00 90.00 90.00
Space group Cmmm (No. 65)
Inequivalent atoms, fractional coordinates:
Pu1 0.250 0.250 0.000 (multiplicity 4)
Pd1 0.000 0.000 0.500 (multiplicity 2)
Pt1 0.000 0.500 0.500 (multiplicity 2)

E_tot: -84.4 eV per cell
formation energy: -0.57 eV/atom

***

2.
PmCuSe2: optimized geometry, GGA-PBE.

Lattice parameters (Å, degrees): 6.709 7.470 7.204 90.00 96.34 90.00
Space group P2_1/c (No. 14)
Inequivalent atoms, fractional coordinates:
Pm1 0.194 0.044 0.299 (multiplicity 4)
Cu1 0.431 0.662 0.456 (multiplicity 4)
Se1 0.079 0.724 0.498 (multiplicity 4)
Se2 0.401 0.111 0.720 (multiplicity 4)

E_tot: -83.2 eV per cell

***

3.
Ho2Ta2Ni15: optimized geometry, GGA-PBE.

Lattice parameters (Å, degrees): 8.3514 8.3514 12.4807 90.00 90.00 120.00
Space group R-3m (No. 166, hexagonal axes)
Inequivalent atoms, fractional coordinates:
Ho1 0.0000 0.0000 0.1492 (multiplicity 6)
Ta1 0.0000 0.0000 0.3966 (multiplicity 6)
Ni1 0.0000 0.3001 0.5000 (multiplicity 18)
Ni2 0.0000 0.5000 0.0000 (multiplicity 9)
Ni3 0.0015 0.5008 0.6555 (multiplicity 18)

E_tot: -374.0 eV per cell
formation energy: -0.27 eV/atom

***

4.
SmSiHRu: optimized geometry, GGA-PBE.

Lattice parameters (Å, degrees): 4.137 4.137 7.327 90.00 90.00 90.00
Space group P4/nmm (No. 129, origin choice 2)
Inequivalent atoms, fractional coordinates:
Sm1 0.250 0.250 0.163 (multiplicity 2)
Si1 0.250 0.250 0.660 (multiplicity 2)
H1 0.250 0.750 0.000 (multiplicity 2)
Ru1 0.250 0.750 0.500 (multiplicity 2)

E_tot: -51.7 eV per cell

***

5.
SbAu3O: optimized geometry, GGA-PBE.

Lattice parameters (Å, degrees): 4.575 4.575 4.575 90.00 90.00 90.00
Space group Pm-3m (No. 221)
Inequivalent atoms, fractional coordinates:
Sb1 0.000 0.000 0.000 (multiplicity 1)
Au1 0.000 0.500 0.500 (multiplicity 3)
O1 0.500 0.500 0.500 (multiplicity 1)

E_tot: -17.0 eV per cell
polymorph energy (0 for the lowest one): 0.0000 eV/atom

***

6.
Rb2TlHgSe: optimized geometry, GGA-PBE.

Lattice parameters (Å, degrees): 6.516 6.516 6.283 90.00 90.00 90.00
Space group P4/mmm (No. 123)
Inequivalent atoms, fractional coordinates:
Rb1 0.000 0.500 0.000 (multiplicity 2)
Tl1 0.000 0.000 0.500 (multiplicity 1)
Hg1 0.500 0.500 0.500 (multiplicity 1)
Se1 0.000 0.000 0.000 (multiplicity 1)

E_tot: -9.9 eV per cell